Below is a relaxed ZrIn2Si crystal, with properties calculated at the PBE level.

## Properties
Total DFT energy (no corrections) (eV for the cell shown): -19.0
Spin magnetization (μB per formula unit): 0.00
Formation energy (no corrections) (eV per atom): 0.112

Cell: 9.433 9.433 9.433 Å, 20.26 20.26 20.26°
Element x y z (fractional)
Si 0.250 0.250 0.250
Zr 0.750 0.750 0.750
In 0.994 0.994 0.994
In 0.506 0.506 0.506